A | Computed, not measured: a relaxed PmBiI crystal at the PBE-GGA level of DFT.

The magnetic moment comes out at 0.000 μB/cell.

a b c (Å): 3.7965 5.4485 5.4485
angles (deg): 120.00 90.00 90.00
Atoms (fractional coordinates):
I: 0.1666 0.3333 0.6667
Bi: 0.6667 0.6667 0.3333
Pm: 0.1667 0.0000 0.0000

---

B | Computed, not measured: a relaxed PmBiI crystal at the PBE-GGA level of DFT.

The magnetic moment comes out at 0.000 μB/cell.

a b c (Å): 4.3061 7.7170 8.5600
angles (deg): 116.80 104.58 56.07
Atoms (fractional coordinates):
I: 0.5001 0.7088 0.9178
I: 0.4999 0.2912 0.0822
Pm: 0.0003 0.1304 0.7615
Pm: 0.9997 0.8696 0.2385
Bi: 0.7416 0.7605 0.4998
Bi: 0.2584 0.2395 0.5002

---

Top of the stability list: B, leading by 0.349 eV/atom.

---

A | Computed, not measured: a relaxed PmBiI crystal at the PBE-GGA level of DFT.

The magnetic moment comes out at 0.000 μB/cell.

a b c (Å): 5.2557 6.0469 8.2638
angles (deg): 87.17 90.02 64.22
Atoms (fractional coordinates):
Pm: 0.2696 0.4547 0.7913
Pm: 0.7259 0.5420 0.2132
Bi: 0.5827 0.8285 0.8607
Bi: 0.4128 0.1683 0.1438
I: 0.8515 0.2908 0.6057
I: 0.1440 0.7060 0.3988

---

B | Computed, not measured: a relaxed PmBiI crystal at the PBE-GGA level of DFT.

The magnetic moment comes out at 0.000 μB/cell.

a b c (Å): 3.7383 3.7383 8.2753
angles (deg): 103.05 103.05 90.00
Atoms (fractional coordinates):
I: 0.2987 0.2987 0.5974
Bi: 0.0311 0.0311 0.0623
Pm: 0.6702 0.6702 0.3404

---

Top of the stability list: A, leading by 0.028 eV/atom.

---

A | Computed, not measured: a relaxed PrBiI crystal at the PBE-GGA level of DFT.

The magnetic moment comes out at 0.000 μB/cell.

a b c (Å): 3.8230 5.5094 5.5094
angles (deg): 120.00 90.00 90.00
Atoms (fractional coordinates):
Pr: 0.1666 0.0000 0.0000
I: 0.1668 0.3333 0.6667
Bi: 0.6666 0.6667 0.3333

---

B | Computed, not measured: a relaxed PrBiI crystal at the PBE-GGA level of DFT.

The magnetic moment comes out at 0.000 μB/cell.

a b c (Å): 5.3779 5.3779 9.4815
angles (deg): 99.59 99.10 115.29
Atoms (fractional coordinates):
Pr: 0.8094 0.4565 0.2659
Pr: 0.1906 0.5435 0.7341
Bi: 0.2130 0.2150 0.4279
Bi: 0.7870 0.7850 0.5721
I: 0.6187 0.2570 0.8757
I: 0.3813 0.7430 0.1243

---

Top of the stability list: B, leading by 0.141 eV/atom.

---

A | Computed, not measured: a relaxed BiPtI3 crystal at the PBE-GGA level of DFT.

The magnetic moment comes out at 1.970 μB/cell.

a b c (Å): 6.1204 6.1204 6.1204
angles (deg): 90.00 90.00 90.00
Atoms (fractional coordinates):
I: 0.0000 0.5000 0.0000
I: 0.0000 0.0000 0.5000
I: 0.5000 0.0000 0.0000
Bi: 0.0000 0.0000 0.0000
Pt: 0.5000 0.5000 0.5000

---

B | Computed, not measured: a relaxed BiPtI3 crystal at the PBE-GGA level of DFT.

The magnetic moment comes out at 0.000 μB/cell.

a b c (Å): 5.4664 5.4664 5.4664
angles (deg): 90.00 90.00 90.00
Atoms (fractional coordinates):
I: 0.0000 0.5000 0.0000
I: 0.0000 0.0000 0.5000
I: 0.5000 0.0000 0.0000
Bi: 0.5000 0.5000 0.5000
Pt: 0.0000 0.0000 0.0000

---

Top of the stability list: B, leading by 0.605 eV/atom.

---

A | Computed, not measured: a relaxed BiPt3I crystal at the PBE-GGA level of DFT.

The magnetic moment comes out at 0.000 μB/cell.

a b c (Å): 5.0282 5.0282 5.0282
angles (deg): 90.00 90.00 90.00
Atoms (fractional coordinates):
I: 0.0000 0.0000 0.0000
Bi: 0.5000 0.5000 0.5000
Pt: 0.0000 0.5000 0.0000
Pt: 0.0000 0.0000 0.5000
Pt: 0.5000 0.0000 0.0000

---

B | Computed, not measured: a relaxed BiPt3I crystal at the PBE-GGA level of DFT.

The magnetic moment comes out at 0.000 μB/cell.

a b c (Å): 5.1730 5.1730 5.1730
angles (deg): 90.00 90.00 90.00
Atoms (fractional coordinates):
I: 0.5000 0.5000 0.5000
Bi: 0.0000 0.0000 0.0000
Pt: 0.0000 0.5000 0.0000
Pt: 0.0000 0.0000 0.5000
Pt: 0.5000 0.0000 0.0000

---

Top of the stability list: A, leading by 0.191 eV/atom.

---

A | Computed, not measured: a relaxed Bi2PtI crystal at the PBE-GGA level of DFT.

The magnetic moment comes out at 0.000 μB/cell.

a b c (Å): 5.3035 5.3035 5.3035
angles (deg): 60.00 60.00 60.00
Atoms (fractional coordinates):
I: 0.0000 0.0000 0.0000
Bi: 0.2500 0.2500 0.2500
Bi: 0.7500 0.7500 0.7500
Pt: 0.5000 0.5000 0.5000

---

B | Computed, not measured: a relaxed Bi2PtI crystal at the PBE-GGA level of DFT.

The magnetic moment comes out at 0.000 μB/cell.

a b c (Å): 4.2724 4.2612 8.2158
angles (deg): 90.17 104.35 119.97
Atoms (fractional coordinates):
Bi: 0.4658 0.9756 0.2224
Bi: 0.5805 0.5300 0.8807
Pt: 0.0232 0.2528 0.0515
I: 0.0232 0.7528 0.5515

---

Top of the stability list: B, leading by 0.619 eV/atom.